[1]
VASP calculation (PBE) on a relaxed Ba5Hg2RhO crystal.

As for the uncorrected formation energy: -0.80 eV per atom. The density of states at the Fermi level comes out at 0.6959 states/eV/atom. As for the total magnetic moment: 0.0 μB per formula unit. For the uncorrected energy, the calculation gives -119.00 eV for the cell shown.

It has space group Cmc2_1 (No. 36), with a = 4.6057 Å, b = 20.5602 Å, c = 14.8066 Å, α = 90.00°, β = 90.00° and γ = 90.00°. The inequivalent atoms are Ba at (0.0000, 0.0015, 0.0000), Ba at (0.0000, 0.1562, 0.2282), Ba at (0.0000, 0.1803, 0.6072), Ba at (0.0000, 0.2111, 0.8887), Ba at (0.0000, 0.4535, 0.2274), Hg at (0.0000, 0.3676, 0.5421), Hg at (0.0000, 0.3875, 0.9036), Rh at (0.0000, 0.2980, 0.2515) and O at (0.0000, 0.0560, 0.6438).

[2]
VASP calculation (PBE) on a relaxed Ba2HgRhO4 crystal.

As for the uncorrected formation energy: -1.41 eV per atom. The density of states at the Fermi level comes out at 0.4293 states/eV/atom. As for the total magnetic moment: 1.1 μB per formula unit. For the uncorrected energy, the calculation gives -85.18 eV for the cell shown.

It has space group C2/m (No. 12), with a = 9.4796 Å, b = 3.4790 Å, c = 10.0401 Å, α = 90.00°, β = 93.94° and γ = 90.00°. The inequivalent atoms are Ba at (0.2416, 0.0000, 0.2974), Hg at (0.0000, 0.5000, 0.0000), Rh at (0.0000, 0.0000, 0.5000), O at (0.0563, 0.0000, 0.6970) and O at (0.1243, 0.5000, 0.4695).

[3]
VASP calculation (PBE) on a relaxed Ba2HgRh3O8 crystal.

As for the uncorrected formation energy: -1.17 eV per atom. The density of states at the Fermi level comes out at 0.4481 states/eV/atom. As for the total magnetic moment: 0.0 μB per formula unit. For the uncorrected energy, the calculation gives -246.61 eV for the cell shown.

It has space group R3m (No. 160, hexagonal axes), with a = 6.4583 Å, b = 6.4583 Å, c = 18.4901 Å, α = 90.00°, β = 90.00° and γ = 120.00°. The inequivalent atoms are Ba at (0.0000, 0.0000, 0.0000), Ba at (0.0000, 0.0000, 0.3771), Hg at (0.0000, 0.0000, 0.6218), Rh at (0.1671, 0.3343, 0.8359), O at (0.0000, 0.0000, 0.2259), O at (0.0000, 0.0000, 0.7818), O at (0.0430, 0.5215, 0.7801) and O at (0.1876, 0.3752, 0.5566).

[4]
VASP calculation (PBE) on a relaxed BaHgRuO5 crystal.

As for the uncorrected formation energy: -1.30 eV per atom. The density of states at the Fermi level comes out at 0.0143 states/eV/atom. As for the total magnetic moment: 2.0 μB per formula unit. For the uncorrected energy, the calculation gives -280.35 eV for the cell shown.

It has space group P6_3/m (No. 176), with a = 10.3697 Å, b = 10.3697 Å, c = 8.6061 Å, α = 90.00°, β = 90.00° and γ = 120.00°. The inequivalent atoms are Ba at (0.0000, 0.0000, 0.0000), Ba at (0.3333, 0.6667, 0.0164), Hg at (0.0131, 0.6812, 0.7500), Ru at (0.0134, 0.6684, 0.2500), O at (0.0892, 0.2088, 0.7500), O at (0.1083, 0.7550, 0.0731), O at (0.1202, 0.5473, 0.2500) and O at (0.1624, 0.5022, 0.7500).

[5]
VASP calculation (PBE) on a relaxed BaHgRuO6 crystal.

As for the uncorrected formation energy: -1.02 eV per atom. As for the total magnetic moment: 0.0 μB per formula unit. For the uncorrected energy, the calculation gives -50.47 eV for the cell shown.

It has space group P1 (No. 1), with a = 5.2073 Å, b = 5.7775 Å, c = 5.9531 Å, α = 116.19°, β = 91.81° and γ = 94.05°. The inequivalent atoms are Ba at (0.0000, 0.0000, 0.0000), Hg at (0.4450, 0.7360, 0.3808), Ru at (0.4429, 0.4159, 0.7472), O at (0.1692, 0.4765, 0.9389), O at (0.2685, 0.6956, 0.6601), O at (0.2849, 0.1728, 0.4560), O at (0.5863, 0.1957, 0.8402), O at (0.6089, 0.7409, 0.0781) and O at (0.7120, 0.5276, 0.6326).

[6]
VASP calculation (PBE) on a relaxed Ba3HgSb2O6 crystal.

As for the uncorrected formation energy: -1.77 eV per atom. The density of states at the Fermi level comes out at 0.0000 states/eV/atom. As for the total magnetic moment: 0.0 μB per formula unit. For the uncorrected energy, the calculation gives -65.33 eV for the cell shown.

It has space group P-3m1 (No. 164), with a = 6.6773 Å, b = 6.6773 Å, c = 7.0079 Å, α = 90.00°, β = 90.00° and γ = 120.00°. The inequivalent atoms are Ba at (0.0000, 0.0000, 0.0000), Ba at (0.3333, 0.6667, 0.5813), Hg at (0.0000, 0.0000, 0.5000), Sb at (0.3333, 0.6667, 0.1016) and O at (0.1897, 0.3793, 0.2511).

[7]
VASP calculation (PBE) on a relaxed Ba2HgSbO crystal.

As for the uncorrected formation energy: -1.20 eV per atom. As for the energy above the lowest structure with this stoichiometry: 79 meV per atom. The density of states at the Fermi level comes out at 0.3576 states/eV/atom. As for the total magnetic moment: 0.0 μB per formula unit. For the uncorrected energy, the calculation gives -19.25 eV for the cell shown.

It has space group P4/mmm (No. 123), with a = 5.4575 Å, b = 5.4575 Å, c = 5.0836 Å, α = 90.00°, β = 90.00° and γ = 90.00°. The inequivalent atoms are Ba at (0.0000, 0.5000, 0.0000), Hg at (0.0000, 0.0000, 0.5000), Sb at (0.5000, 0.5000, 0.5000) and O at (0.0000, 0.0000, 0.0000).

[8]
VASP calculation (PBE) on a relaxed Ba2HgSbO crystal.

As for the uncorrected formation energy: -1.28 eV per atom. As for the energy above the lowest structure with this stoichiometry: 0 meV per atom. The density of states at the Fermi level comes out at 0.3828 states/eV/atom. As for the total magnetic moment: 0.0 μB per formula unit. For the uncorrected energy, the calculation gives -39.29 eV for the cell shown.

It has space group P2_1/m (No. 11), with a = 9.3174 Å, b = 3.7947 Å, c = 9.6898 Å, α = 90.00°, β = 103.06° and γ = 90.00°. The inequivalent atoms are Ba at (0.1564, 0.2500, 0.3401), Ba at (0.1826, 0.2500, 0.9784), Hg at (0.4875, 0.7500, 0.2787), Sb at (0.2347, 0.7500, 0.6698) and O at (0.0902, 0.7500, 0.1394).